This record from Alexandria describes a geometry-optimized Er4Mg3Sc structure. The functional is PBE.

a b c (Å): 3.628 3.628 16.446
angles (deg): 90.00 90.00 90.00
Fractional positions:
Sc: 0.500 0.500 0.000
Mg: 0.500 0.500 0.256
Mg: 0.500 0.500 0.500
Mg: 0.500 0.500 0.744
Er: 0.000 0.000 0.871
Er: 0.000 0.000 0.129
Er: 0.000 0.000 0.381
Er: 0.000 0.000 0.619

Values from the calculation:
* energy of formation: -35 meV per atom
* energy: -3.706 eV/atom
* total magnetic moment: 0.0 μB per cell
* space-group type: P4/mmm (123)